{
  "formula": "Tb2SiN",
  "functional": "GGA-PBE",
  "state": "optimized geometry",
  "cell": [[-1.384, -2.981, -1.377], [1.405, -3.167, 0.833], [-4.355, -2.548, 5.281]],
  "species": ["Tb", "Tb", "N", "Si"],
  "frac_coords": [[0.768, 0.768, 0.696], [0.232, 0.232, 0.304], [0.500, 0.500, 0.500], [0.000, 0.000, 0.000]],
  "sg": "R-3m (166)",
  "raw_formation_energy_ev_per_atom": -1.04,
  "energy_ev_per_cell": -27.15
}